First-principles (GGA-PBEsol) data for HfSIN2 after structural relaxation, as listed in the Alexandria database.

```
5
Lattice="4.0988 0.0000 0.0000 0.0000 4.0988 0.0000 0.0000 0.0000 5.3412" Properties=species:S:1:pos:R:3 pbc="T T T"
I 2.0494 2.0494 2.6706
N 0.0000 2.0494 0.0000
N 2.0494 0.0000 0.0000
S 0.0000 0.0000 2.6706
Hf 0.0000 0.0000 0.0000
```

Results
Its density of states at the Fermi level is 3.64 states/eV/cell. As for the total magnetization: 0.00 μB/cell. Its uncorrected formation energy is 8.151 kcal/mol of atoms. The calculation puts the energy at -31.9 eV/cell.


First-principles (GGA-PBEsol) data for Ca3SnO after structural relaxation, as listed in the Alexandria database.

```
5
Lattice="4.7795 0.0000 0.0000 0.0000 4.7795 0.0000 0.0000 0.0000 4.7795" Properties=species:S:1:pos:R:3 pbc="T T T"
Ca 0.0000 2.3897 2.3897
Ca 2.3897 0.0000 2.3897
Ca 2.3897 2.3897 0.0000
O 2.3897 2.3897 2.3897
Sn 0.0000 0.0000 0.0000
```

Results
Its density of states at the Fermi level is 0.12 states/eV/cell. As for the total magnetization: 0.00 μB/cell. Its uncorrected formation energy is -38.875 kcal/mol of atoms. The calculation puts the energy at -24.3 eV/cell.


First-principles (GGA-PBEsol) data for RbPH2O4 after structural relaxation, as listed in the Alexandria database.

```
16
Lattice="-1.3541 -3.1979 3.3801 -2.5773 -3.4329 -4.2804 6.7203 -2.2308 -2.2573" Properties=species:S:1:pos:R:3 pbc="T T T"
O 3.0619 -4.0091 -0.7747
O -0.5752 -6.6707 -0.7428
O -1.5192 -4.4024 -0.1931
O 5.3891 -3.0194 -1.1692
O -2.6002 -5.8422 -1.9884
O 4.3081 -4.4592 -2.9645
O 3.3641 -2.1909 -2.4149
O -0.2730 -4.8525 -2.3830
P 4.0383 -3.4666 -1.7977
P -1.2494 -5.3950 -1.3600
H 0.2662 -4.0095 -3.3837
H -1.9657 -3.3154 -0.4502
H 2.5227 -4.8521 0.2261
H -0.6771 -1.5989 1.6900
Rb 0.8059 -2.1019 -0.9459
Rb 1.9830 -6.7597 -2.2118
```

Results
Its density of states at the Fermi level is 0.00 states/eV/cell. As for the total magnetization: 0.00 μB/cell. The calculation puts the energy at -98.7 eV/cell. The energy above the most stable polymorph in this dataset comes out at 10 kJ/mol of formula units.


First-principles (GGA-PBEsol) data for KHfPdF7 after structural relaxation, as listed in the Alexandria database.

```
40
Lattice="-5.9671 -2.0405 0.2302 1.1569 -2.5480 7.4038 -3.3025 10.1082 3.9947" Properties=species:S:1:pos:R:3 pbc="T T T"
F -6.5224 3.0676 6.4066
F -6.9475 2.2004 3.3349
F -3.2577 9.0809 5.1263
F -3.4201 3.2279 1.7463
F -7.1119 3.5901 9.0776
F -1.1653 3.3193 8.2938
F -1.0008 1.9296 2.5511
F -7.5041 6.0486 7.3838
F -5.4447 7.8994 6.3079
F -0.6086 -0.5289 4.2448
F -7.8335 5.2119 4.7483
F -6.7759 7.6991 3.8094
F -3.6932 2.8885 7.2940
F -4.4575 -1.3368 2.3518
F -3.6553 6.8565 9.2769
F -1.3368 -2.1794 7.8193
F -0.2792 0.3078 6.8804
F -4.9875 0.7822 7.3946
F -3.1252 4.7376 4.2341
F -4.6926 2.2919 9.8824
F -5.5304 5.7318 5.3368
F -4.4195 2.6312 4.3347
F -2.5823 -0.2121 6.2919
F -5.0192 4.5734 8.3196
F -2.6680 -2.3797 5.3208
F -1.5903 2.4521 5.2221
F -3.0935 0.9463 3.3091
F -4.8551 -3.5612 6.5024
Hf -0.9286 -1.4890 5.9787
Hf -2.5493 2.9749 3.5375
Hf -7.1841 7.0088 5.6499
Hf -5.5634 2.5448 8.0912
K -3.2558 5.8430 6.7503
K -4.1031 7.0251 3.0588
K -5.1665 1.0426 1.1661
K -4.8569 -0.3233 4.8784
Pd -6.5824 5.6636 9.3237
Pd -6.1651 3.8900 4.4174
Pd -1.5303 -0.1439 2.3050
Pd -1.9476 1.6298 7.2113
```

Results
As for the total magnetization: 8.00 μB/cell. Its uncorrected formation energy is -65.296 kcal/mol of atoms. The calculation puts the energy at -237.6 eV/cell.


First-principles (GGA-PBEsol) data for KCu2Mo after structural relaxation, as listed in the Alexandria database.

```
4
Lattice="2.5765 0.0000 0.0000 -1.2882 4.2474 0.0118 0.0000 -0.5332 7.0346" Properties=species:S:1:pos:R:3 pbc="T T T"
Cu 1.2882 1.7055 4.6250
Cu 0.0000 2.0086 2.4214
Mo 0.0000 -0.2666 3.5173
K 1.2882 0.0000 0.0000
```

Results
Its density of states at the Fermi level is 2.82 states/eV/cell. As for the total magnetization: 0.00 μB/cell. The calculation puts the energy at -18.5 eV/cell. The energy above the most stable polymorph in this dataset comes out at 20 kJ/mol of formula units.


First-principles (GGA-PBEsol) data for LiMg after structural relaxation, as listed in the Alexandria database.

```
2
Lattice="-0.8629 2.6182 -1.4193 -2.0148 -1.5267 1.7955 1.5171 2.6395 3.9469" Properties=species:S:1:pos:R:3 pbc="T T T"
Mg -0.8723 1.1747 2.6973
Li 0.0000 0.0000 0.0000
```

Results
Its density of states at the Fermi level is 1.01 states/eV/cell. As for the total magnetization: 0.00 μB/cell. The calculation puts the energy at -3.7 eV/cell.


First-principles (GGA-PBEsol) data for ReSi2Pt after structural relaxation, as listed in the Alexandria database.

```
4
Lattice="2.7263 0.0000 0.0000 0.0000 2.7263 0.0000 0.0000 0.0000 7.5426" Properties=species:S:1:pos:R:3 pbc="T T T"
Re 1.3632 1.3632 5.7492
Si 1.3632 1.3632 1.8900
Si 0.0000 0.0000 7.4799
Pt 0.0000 0.0000 3.7373
```

Results
Its density of states at the Fermi level is 2.79 states/eV/cell. As for the total magnetization: 0.00 μB/cell. Its uncorrected formation energy is 0.901 kcal/mol of atoms. The calculation puts the energy at -31.6 eV/cell. The energy above the most stable polymorph in this dataset comes out at 29 kJ/mol of formula units.


First-principles (GGA-PBEsol) data for Al2CoTe after structural relaxation, as listed in the Alexandria database.

```
4
Lattice="3.1457 0.0000 0.0000 1.5728 2.7242 0.0000 1.5728 0.9081 8.0668" Properties=species:S:1:pos:R:3 pbc="T T T"
Te 0.0000 0.0000 0.0000
Co 3.1457 1.8161 4.0334
Al 1.5728 0.9081 2.4845
Al 4.7185 2.7242 5.5823
```

Results
Its density of states at the Fermi level is 2.66 states/eV/cell. As for the total magnetization: 0.00 μB/cell. Its uncorrected formation energy is 1.277 kcal/mol of atoms. The calculation puts the energy at -19.2 eV/cell.


First-principles (GGA-PBEsol) data for YTcIr2 after structural relaxation, as listed in the Alexandria database.

```
4
Lattice="-3.0373 0.1470 2.5915 -2.0808 -2.7884 -2.2807 4.1795 -1.5762 1.9081" Properties=species:S:1:pos:R:3 pbc="T T T"
Tc -1.5187 0.0735 1.2957
Y -1.0404 -1.3942 -1.1403
Ir 0.7974 -1.4255 1.0154
Ir -1.7361 -2.7921 1.2035
```

Results
Its density of states at the Fermi level is 5.20 states/eV/cell. As for the total magnetization: 0.54 μB/cell. The calculation puts the energy at -38.0 eV/cell. The energy above the most stable polymorph in this dataset comes out at 45 kJ/mol of formula units.


First-principles (GGA-PBEsol) data for CrCo2Os after structural relaxation, as listed in the Alexandria database.

```
4
Lattice="2.5863 0.0000 0.0000 1.2932 2.2398 0.0000 1.2932 0.7466 8.1233" Properties=species:S:1:pos:R:3 pbc="T T T"
Co 1.2932 0.7466 8.0230
Co 3.8795 2.2398 6.1040
Os 1.2932 0.7466 2.0523
Cr 2.5863 1.4932 4.1289
```

Results
Its density of states at the Fermi level is 5.28 states/eV/cell. As for the total magnetization: 2.76 μB/cell. The calculation puts the energy at -37.1 eV/cell. The energy above the most stable polymorph in this dataset comes out at 67 kJ/mol of formula units.


First-principles (GGA-PBEsol) data for Ho2MgCd after structural relaxation, as listed in the Alexandria database.

```
4
Lattice="-4.0990 2.2652 -2.2953 -4.0770 -2.8885 -1.4954 -4.5362 0.3758 2.5462" Properties=species:S:1:pos:R:3 pbc="T T T"
Ho -3.1780 -0.0619 -0.3111
Ho -9.5341 -0.1856 -0.9334
Mg -6.3561 -0.1237 -0.6223
Cd 0.0000 0.0000 0.0000
```

Results
Its density of states at the Fermi level is 4.60 states/eV/cell. As for the total magnetization: 0.00 μB/cell. The calculation puts the energy at -13.6 eV/cell.


First-principles (GGA-PBEsol) data for MgInHg2 after structural relaxation, as listed in the Alexandria database.

```
4
Lattice="-0.7661 0.9936 -3.1994 -1.8742 -2.0425 -2.0312 -8.3025 3.5036 1.2304" Properties=species:S:1:pos:R:3 pbc="T T T"
In -5.4714 1.2274 -2.0001
Hg -8.2906 1.8844 -2.9667
Hg -2.6521 0.5703 -1.0336
Mg 0.0000 0.0000 0.0000
```

Results
Its density of states at the Fermi level is 1.41 states/eV/cell. As for the total magnetization: 0.00 μB/cell. The calculation puts the energy at -6.4 eV/cell.